DFT (GGA+U) results for a relaxed Zr2TaCoF crystal.

Its raw total energy is -6.836 eV per atom.

a b c (Å): 5.0337 3.6168 5.0337
angles (deg): 90.00 90.00 90.00
Last column: magnetic moment on the atom in μB.
Fractional positions:
F (0.0000, 0.5000, 0.0000)  0.00
Zr (0.0000, 0.0000, 0.5000)  -0.05
Zr (0.5000, 0.0000, 0.0000)  -0.03
Co (0.0000, 0.0000, 0.0000)  0.37
Ta (0.5000, 0.5000, 0.5000)  0.26